A) CoHgBr2: optimized geometry, GGA-PBE.

abc: 7.5083 7.5083 7.1526
angles: 58.34 58.34 90.00
Fractional positions:
Br 0.8750 0.7490 0.7500
Br 0.2510 0.6250 0.2500
Br 0.4990 0.1250 0.2500
Hg 0.0000 0.0000 0.0000
Co 0.2500 0.7500 0.5000
Br 0.3750 0.5010 0.7500
Co 0.5000 0.5000 0.0000
Hg 0.7500 0.2500 0.5000

Computed properties:
SG: I-42d
Spin magnetization, μB/cell: 6.00


B) CoHgBr2: optimized geometry, GGA-PBE.

abc: 10.5053 10.5053 10.5053
angles: 19.73 19.73 19.73
Fractional positions:
Br 0.8772 0.8772 0.8772
Hg 0.0000 0.0000 0.0000
Co 0.5000 0.5000 0.5000
Br 0.1228 0.1228 0.1228

Computed properties:
SG: R-3m
Spin magnetization, μB/cell: 0.93


C) CoHgBr2: optimized geometry, GGA-PBE.

abc: 3.2789 3.2795 9.9264
angles: 90.00 90.00 90.00
Fractional positions:
Co 0.5000 0.5000 0.2500
Br 0.0000 0.0000 0.0902
Hg 0.5000 0.5000 0.7500
Br 0.0000 0.0000 0.4098

Computed properties:
SG: P4/mmm
Spin magnetization, μB/cell: 2.91


D) CoHgBr2: optimized geometry, GGA-PBE.

abc: 3.6453 5.6061 6.3479
angles: 71.32 90.00 90.00
Fractional positions:
Br 0.5000 0.3750 0.3220
Hg 0.5000 0.6802 0.7251
Br 0.0000 0.0450 0.8866
Co 0.0000 0.3998 0.5663

Computed properties:
SG: Pm
Spin magnetization, μB/cell: 2.85


Stability order, top to bottom: B), A), D), C)


A) CoHgBr2: optimized geometry, GGA-PBE.

abc: 5.0942 5.0942 5.0942
angles: 60.00 60.00 60.00
Fractional positions:
Hg 0.5000 0.5000 0.5000
Br 0.2500 0.2500 0.2500
Br 0.7500 0.7500 0.7500
Co 0.0000 0.0000 0.0000

Computed properties:
SG: Fm-3m
Spin magnetization, μB/cell: 2.48


B) CoHgBr2: optimized geometry, GGA-PBE.

abc: 6.5094 6.5094 6.5676
angles: 60.69 60.69 30.85
Fractional positions:
Br 0.8596 0.8596 0.6615
Co 0.4244 0.4244 0.3751
Br 0.0123 0.0123 0.0887
Hg 0.2037 0.2037 0.3747

Computed properties:
SG: Cm
Spin magnetization, μB/cell: 1.35


Stability order, top to bottom: B), A)


A) Co2HgBr2: optimized geometry, GGA-PBE.

abc: 3.7208 3.7208 9.9556
angles: 79.23 79.23 90.00
Fractional positions:
Co 0.7500 0.2500 0.5000
Br 0.6667 0.6667 0.6667
Co 0.2500 0.7500 0.5000
Hg 0.0000 0.0000 0.0000
Br 0.3333 0.3333 0.3333

Computed properties:
SG: I4/mmm
Spin magnetization, μB/cell: 4.00


B) Co2HgBr2: optimized geometry, GGA-PBE.

abc: 8.2822 8.2822 3.2377
angles: 90.00 90.00 90.00
Fractional positions:
Co 0.2919 0.2081 0.5000
Hg 0.0000 0.0000 0.0000
Br 0.8620 0.6380 0.0000
Br 0.1380 0.3620 0.0000
Co 0.7919 0.2919 0.5000
Co 0.7081 0.7919 0.5000
Br 0.3620 0.8620 0.0000
Hg 0.5000 0.5000 0.0000
Br 0.6380 0.1380 0.0000
Co 0.2081 0.7081 0.5000

Computed properties:
SG: P4/mbm
Spin magnetization, μB/cell: 8.04


Stability order, top to bottom: A), B)


A) CoHgBr: optimized geometry, GGA-PBE.

abc: 3.5813 3.5813 6.2197
angles: 90.00 90.00 120.00
Fractional positions:
Co 0.6667 0.3333 0.3091
Br 0.0000 0.0000 0.0948
Hg 0.3333 0.6667 0.5962

Computed properties:
SG: P3m1
Spin magnetization, μB/cell: 2.00


B) CoHgBr: optimized geometry, GGA-PBE.

abc: 7.2825 6.8369 3.5571
angles: 82.48 68.55 28.96
Fractional positions:
Br 0.9645 0.9645 0.0355
Co 0.3429 0.3429 0.6571
Hg 0.6925 0.6925 0.3075

Computed properties:
SG: Fmm2
Spin magnetization, μB/cell: 2.07


Stability order, top to bottom: A), B)


A) CoHgBr4: optimized geometry, GGA-PBE.

abc: 6.2369 6.2369 10.9356
angles: 90.00 90.00 90.00
Fractional positions:
Br 0.7192 0.2363 0.6314
Br 0.2363 0.7192 0.1314
Co 0.5000 0.0000 0.7500
Br 0.7192 0.7637 0.8686
Co 0.0000 0.5000 0.2500
Br 0.7637 0.7192 0.3686
Hg 0.0000 0.0000 0.5000
Br 0.2808 0.2363 0.8686
Br 0.2808 0.7637 0.6314
Hg 0.0000 0.0000 0.0000
Br 0.7637 0.2808 0.1314
Br 0.2363 0.2808 0.3686

Computed properties:
SG: P-42c
Spin magnetization, μB/cell: 6.00


B) CoHgBr4: optimized geometry, GGA-PBE.

abc: 6.3067 6.3067 6.3067
angles: 60.00 60.00 60.00
Fractional positions:
Br 0.3755 0.3755 0.3755
Br 0.3755 0.3755 0.8735
Br 0.3755 0.8735 0.3755
Br 0.8735 0.3755 0.3755
Co 0.7500 0.7500 0.7500
Hg 0.0000 0.0000 0.0000

Computed properties:
SG: F-43m
Spin magnetization, μB/cell: 1.95


Stability order, top to bottom: A), B)


A) Ho2CoBr: optimized geometry, GGA-PBE.

abc: 3.8455 3.8455 7.9256
angles: 75.96 75.96 60.00
Fractional positions:
Ho 0.2717 0.2717 0.1848
Ho 0.0632 0.0632 0.8104
Co 0.6672 0.6672 0.9985
Br 0.4979 0.4979 0.5064

Computed properties:
SG: R3m
Spin magnetization, μB/cell: 0.00


B) Ho2CoBr: optimized geometry, GGA-PBE.

abc: 3.8412 3.8412 7.8917
angles: 75.91 75.91 60.00
Fractional positions:
Ho 0.7297 0.7297 0.8108
Co 0.0000 0.0000 0.0000
Br 0.5000 0.5000 0.5000
Ho 0.2703 0.2703 0.1892

Computed properties:
SG: R-3m
Spin magnetization, μB/cell: 0.00


Stability order, top to bottom: B), A)